# Ce2CoF11 (PBE+U, relaxed)
data_Ce2CoF11
_space_group_name_H-M_alt 'I b a m'
_space_group_IT_number 72
_space_group_name_Hall '-I 2 2c'
_cell_length_a 8.706
_cell_length_b 10.363
_cell_length_c 10.601
_cell_angle_alpha 90.00
_cell_angle_beta 90.00
_cell_angle_gamma 90.00
loop_
_atom_site_label
_atom_site_type_symbol
_atom_site_fract_x
_atom_site_fract_y
_atom_site_fract_z
Ce1 Ce 0.116 0.194 0.000
Co1 Co 0.000 0.500 0.250
F1 F 0.000 0.000 0.000
F2 F 0.077 0.385 0.136
F3 F 0.139 0.229 0.500
F4 F 0.200 0.119 0.166
# **Electronic total energy**: -5.807 eV/atom


# CeCoF6 (PBE+U, relaxed)
data_CeCoF6
_space_group_name_H-M_alt 'R -3 m'
_space_group_IT_number 166
_space_group_name_Hall '-R 3 2"'
_cell_length_a 5.9754
_cell_length_b 5.9754
_cell_length_c 14.5328
_cell_angle_alpha 90.00
_cell_angle_beta 90.00
_cell_angle_gamma 120.00
loop_
_atom_site_label
_atom_site_type_symbol
_atom_site_fract_x
_atom_site_fract_y
_atom_site_fract_z
Ce1 Ce 0.0000 0.0000 0.0000
Co1 Co 0.0000 0.0000 0.5000
F1 F 0.0107 0.5054 0.2467
# **Electronic total energy**: -5.923 eV/atom


# KCeCoF6 (PBE+U, relaxed)
data_KCeCoF6
_space_group_name_H-M_alt 'P -3 1 c'
_space_group_IT_number 163
_space_group_name_Hall '-P 3 2c'
_cell_length_a 5.9229
_cell_length_b 5.9229
_cell_length_c 10.8515
_cell_angle_alpha 90.00
_cell_angle_beta 90.00
_cell_angle_gamma 120.00
loop_
_atom_site_label
_atom_site_type_symbol
_atom_site_fract_x
_atom_site_fract_y
_atom_site_fract_z
K1 K 0.0000 0.0000 0.0000
Ce1 Ce 0.3333 0.6667 0.2500
Co1 Co 0.3333 0.6667 0.7500
F1 F 0.0265 0.3801 0.6460
# **Electronic total energy**: -5.674 eV/atom


# K2CeCo3F12 (PBE+U, relaxed)
data_K2CeCo3F12
_space_group_name_H-M_alt 'R -3 m'
_space_group_IT_number 166
_space_group_name_Hall '-R 3 2"'
_cell_length_a 7.5491
_cell_length_b 7.5491
_cell_length_c 16.6785
_cell_angle_alpha 90.00
_cell_angle_beta 90.00
_cell_angle_gamma 120.00
loop_
_atom_site_label
_atom_site_type_symbol
_atom_site_fract_x
_atom_site_fract_y
_atom_site_fract_z
K1 K 0.0000 0.0000 0.1138
Ce1 Ce 0.0000 0.0000 0.5000
Co1 Co 0.0000 0.5000 0.0000
F1 F 0.0060 0.5030 0.8771
F2 F 0.0813 0.5407 0.3115
# **Electronic total energy**: -5.241 eV/atom


# Li2CeCoF8 (PBE+U, relaxed)
data_Li2CeCoF8
_space_group_name_H-M_alt 'P -1'
_space_group_IT_number 2
_space_group_name_Hall '-P 1'
_cell_length_a 4.781
_cell_length_b 4.795
_cell_length_c 6.790
_cell_angle_alpha 89.86
_cell_angle_beta 89.87
_cell_angle_gamma 89.39
loop_
_atom_site_label
_atom_site_type_symbol
_atom_site_fract_x
_atom_site_fract_y
_atom_site_fract_z
Li1 Li 0.001 0.001 0.302
Ce1 Ce 0.500 0.500 0.000
Co1 Co 0.500 0.500 0.500
F1 F 0.187 0.191 0.002
F2 F 0.210 0.211 0.500
F3 F 0.297 0.704 0.743
F4 F 0.298 0.704 0.257
# **Electronic total energy**: -5.513 eV/atom


# Na2CeCo3F12 (PBE+U, relaxed)
data_Na2CeCo3F12
_space_group_name_H-M_alt 'R -3 m'
_space_group_IT_number 166
_space_group_name_Hall '-R 3 2"'
_cell_length_a 6.9115
_cell_length_b 6.9115
_cell_length_c 21.9591
_cell_angle_alpha 90.00
_cell_angle_beta 90.00
_cell_angle_gamma 120.00
loop_
_atom_site_label
_atom_site_type_symbol
_atom_site_fract_x
_atom_site_fract_y
_atom_site_fract_z
Na1 Na 0.0000 0.0000 0.0795
Ce1 Ce 0.0000 0.0000 0.5000
Co1 Co 0.0000 0.5000 0.0000
F1 F 0.0478 0.5239 0.2281
F2 F 0.0605 0.5303 0.3636
# **Electronic total energy**: -5.184 eV/atom


# Na2CeCoF8 (PBE+U, relaxed)
data_Na2CeCoF8
_space_group_name_H-M_alt 'P 1 2/m 1'
_space_group_IT_number 10
_space_group_name_Hall '-P 2y'
_cell_length_a 4.192
_cell_length_b 7.294
_cell_length_c 5.473
_cell_angle_alpha 90.00
_cell_angle_beta 93.68
_cell_angle_gamma 90.00
loop_
_atom_site_label
_atom_site_type_symbol
_atom_site_fract_x
_atom_site_fract_y
_atom_site_fract_z
Na1 Na 0.000 0.225 0.000
Ce1 Ce 0.500 0.500 0.500
Co1 Co 0.500 0.000 0.500
F1 F 0.052 0.500 0.263
F2 F 0.127 0.000 0.274
F3 F 0.420 0.255 0.726
# **Electronic total energy**: -5.361 eV/atom


# NaCeCoF6 (PBE+U, relaxed)
data_NaCeCoF6
_space_group_name_H-M_alt 'P -3 1 c'
_space_group_IT_number 163
_space_group_name_Hall '-P 3 2c'
_cell_length_a 5.7012
_cell_length_b 5.7012
_cell_length_c 9.7917
_cell_angle_alpha 90.00
_cell_angle_beta 90.00
_cell_angle_gamma 120.00
loop_
_atom_site_label
_atom_site_type_symbol
_atom_site_fract_x
_atom_site_fract_y
_atom_site_fract_z
Na1 Na 0.0000 0.0000 0.0000
Ce1 Ce 0.3333 0.6667 0.2500
Co1 Co 0.3333 0.6667 0.7500
F1 F 0.0199 0.3550 0.6330
# **Electronic total energy**: -5.608 eV/atom


> What is the electronic total energy in the fourth record?

-5.241 eV/atom


> The highest electronic total energy belongs to which entry?

Na2CeCo3F12


Copy entry 7 word for word.
# Na2CeCoF8 (PBE+U, relaxed)
data_Na2CeCoF8
_space_group_name_H-M_alt 'P 1 2/m 1'
_space_group_IT_number 10
_space_group_name_Hall '-P 2y'
_cell_length_a 4.192
_cell_length_b 7.294
_cell_length_c 5.473
_cell_angle_alpha 90.00
_cell_angle_beta 93.68
_cell_angle_gamma 90.00
loop_
_atom_site_label
_atom_site_type_symbol
_atom_site_fract_x
_atom_site_fract_y
_atom_site_fract_z
Na1 Na 0.000 0.225 0.000
Ce1 Ce 0.500 0.500 0.500
Co1 Co 0.500 0.000 0.500
F1 F 0.052 0.500 0.263
F2 F 0.127 0.000 0.274
F3 F 0.420 0.255 0.726
# **Electronic total energy**: -5.361 eV/atom